This record from Alexandria via LeMat-Bulk describes a geometry-optimized Tl3VTe2O9 structure. The functional is PBE with a Hubbard U.

Geometry as CIF:
```
data_Tl3VTe2O9
_chemical_formula_sum 'Tl3 V1 Te2 O9'
_cell_length_a 5.7919
_cell_length_b 5.7919
_cell_length_c 7.1224
_cell_angle_alpha 90.00
_cell_angle_beta 90.00
_cell_angle_gamma 120.00
_symmetry_space_group_name_H-M 'P -3 m 1'
_symmetry_Int_Tables_number 164
_symmetry_space_group_name_Hall '-P 3 2"'
loop_
_atom_site_label
_atom_site_type_symbol
_atom_site_fract_x
_atom_site_fract_y
_atom_site_fract_z
Tl1 Tl 0.0000 0.0000 0.0000
Tl2 Tl 0.3333 0.6667 0.6626
V1 V 0.0000 0.0000 0.5000
Te1 Te 0.3333 0.6667 0.1741
O1 O 0.0000 0.5000 0.0000
O2 O 0.1596 0.3191 0.3439
```

Calculated values
* magnetic moment: 0.00 μB/f.u.
* DOS at the Fermi energy: 0.33 states/eV/atom
* calculated total energy: -5.29 eV per atom